# 1
Li4Tl2ZnAg: optimized geometry, PBE-GGA.

Geometry as extended XYZ:
```
8
Lattice="4.641 0.000 0.000 0.000 4.641 0.000 0.000 0.000 6.572" Properties=species:S:1:pos:R:3 pbc="T T T"
Li 0.000 0.000 0.000
Li 0.000 2.321 1.636
Li 2.321 0.000 4.937
Li 2.321 2.321 3.286
Tl 0.000 2.321 4.974
Tl 2.321 0.000 1.598
Zn 2.321 2.321 0.000
Ag 0.000 0.000 3.286
```

Results
**Space-group type**: P-4m2 (115)
**Raw total energy**: -18.2 eV/cell

***

# 2
KPaTlTe3: optimized geometry, PBE-GGA.

Geometry as extended XYZ:
```
12
Lattice="2.244 -8.369 0.000 2.244 8.369 0.000 0.000 0.000 13.046" Properties=species:S:1:pos:R:3 pbc="T T T"
K 2.244 5.575 9.784
K 2.244 -5.575 3.261
Pa 2.244 0.000 0.000
Pa 2.244 0.000 6.523
Tl 2.244 6.043 3.261
Tl 2.244 -6.043 9.784
Te 2.244 6.275 6.543
Te 2.244 6.275 13.026
Te 2.244 0.069 9.784
Te 2.244 -0.069 3.261
Te 2.244 -6.275 0.020
Te 2.244 -6.275 6.503
```

Results
**Size of the total moment**: 0.167 μB per atom
**Space-group type**: Cmcm (63)
**Raw total energy**: -53.3 eV/cell

***

# 3
LaHg2HO: optimized geometry, PBE-GGA.

Geometry as extended XYZ:
```
5
Lattice="-1.899 1.899 6.833 1.899 -1.899 6.833 1.899 1.899 -6.833" Properties=species:S:1:pos:R:3 pbc="T T T"
La 0.000 0.000 0.000
Hg 1.899 0.000 3.057
Hg 0.000 1.899 3.057
H 0.000 0.000 4.548
O 0.000 0.000 6.860
```

Results
**Size of the total moment**: 0.001 μB per atom
**Space-group type**: I4mm (107)
**Raw total energy**: -16.6 eV/cell

***

# 4
LiCoBIr: optimized geometry, PBE-GGA.

Geometry as extended XYZ:
```
4
Lattice="0.000 2.688 2.688 2.688 0.000 2.688 2.688 2.688 0.000" Properties=species:S:1:pos:R:3 pbc="T T T"
Li 0.000 0.000 0.000
Co 4.031 4.031 4.031
B 2.688 2.688 2.688
Ir 1.344 1.344 1.344
```

Results
**Size of the total moment**: 0.155 μB per atom
**Space-group type**: F-43m (216)
**Distance to the lowest polymorph of the same formula**: 0.000 eV/atom
**Raw total energy**: -24.6 eV/cell

***

- What is the raw total energy in the second record?
  -53.3 eV/cell

***

- Number 1 is which compound?
  Li4Tl2ZnAg